Record 1
Below is a relaxed Ce2Si4W3 crystal, with properties calculated at the PBE level.

```
Ce2Si4W3
1.0
6.915 0.000 0.000
0.000 6.956 0.000
-2.325 0.000 6.492
Ce Si W
4 8 6
Direct
0.187 0.165 0.060
0.187 0.335 0.560
0.813 0.665 0.440
0.813 0.835 0.940
0.093 0.547 0.872
0.093 0.953 0.372
0.495 0.634 0.630
0.495 0.866 0.130
0.505 0.134 0.870
0.505 0.366 0.370
0.907 0.047 0.628
0.907 0.453 0.128
0.251 0.660 0.253
0.251 0.840 0.753
0.500 0.000 0.500
0.500 0.500 0.000
0.749 0.160 0.247
0.749 0.340 0.747
```

Computed properties:
Raw total energy in eV per cell: -153.11
Fermi-level density of states in states/eV per atom: 0.970

=====

Record 2
Below is a relaxed CeYSi2 crystal, with properties calculated at the PBE level.

```
CeYSi2
1.0
2.104 1.215 6.608
-2.104 1.215 6.608
0.000 -2.430 6.608
Ce Y Si
1 1 2
Direct
0.000 0.000 0.000
0.500 0.500 0.500
0.251 0.251 0.251
0.749 0.749 0.749
```

Computed properties:
Raw total energy in eV per cell: -25.12
Fermi-level density of states in states/eV per atom: 1.415
Energy relative to the lowest polymorph listed for this composition in eV per atom: 0.265

=====

Record 3
Below is a relaxed CeYSi2 crystal, with properties calculated at the PBE level.

```
CeYSi2
1.0
3.874 0.000 0.000
0.000 2.181 5.344
0.000 -2.181 5.344
Ce Y Si
1 1 2
Direct
0.000 0.000 0.000
0.500 0.720 0.720
0.000 0.285 0.285
0.500 0.433 0.433
```

Computed properties:
Raw total energy in eV per cell: -26.19
Fermi-level density of states in states/eV per atom: 1.634
Energy relative to the lowest polymorph listed for this composition in eV per atom: 0.000